# 1
# TlSiAu PBE optimized geometry
# Formation energy (no corrections)   0.13 eV/atom
# Space-group type   No. 62
data_TlSiAu
_chemical_formula_sum 'Tl4 Si4 Au4'
_symmetry_space_group_name_H-M 'P 1'
_symmetry_Int_Tables_number 1
_symmetry_space_group_name_Hall 'P 1'
_cell_length_a 7.8784
_cell_length_b 4.3454
_cell_length_c 7.6272
_cell_angle_alpha 90.00
_cell_angle_beta 90.00
_cell_angle_gamma 90.00
loop_
_atom_site_label
_atom_site_type_symbol
_atom_site_fract_x
_atom_site_fract_y
_atom_site_fract_z
_atom_site_occupancy
Si1 Si 0.1445 0.2500 0.4171 1
Si2 Si 0.6445 0.2500 0.0829 1
Au1 Au 0.6872 0.7500 0.8983 1
Au2 Au 0.8128 0.2500 0.3983 1
Au3 Au 0.1872 0.7500 0.6017 1
Tl1 Tl 0.9945 0.7500 0.1650 1
Tl2 Tl 0.0055 0.2500 0.8350 1
Tl3 Tl 0.5055 0.2500 0.6650 1
Si3 Si 0.8555 0.7500 0.5829 1
Si4 Si 0.3555 0.7500 0.9171 1
Au4 Au 0.3128 0.2500 0.1017 1
Tl4 Tl 0.4945 0.7500 0.3350 1

***

# 2
# ThMn2Co3 PBE optimized geometry
# ΔE_f   -0.58 eV per formula unit
# Space-group type   No. 191
data_ThMn2Co3
_chemical_formula_sum 'Th1 Mn2 Co3'
_symmetry_space_group_name_H-M 'P 1'
_symmetry_Int_Tables_number 1
_symmetry_space_group_name_Hall 'P 1'
_cell_length_a 5.1242
_cell_length_b 5.1242
_cell_length_c 3.8834
_cell_angle_alpha 90.00
_cell_angle_beta 90.00
_cell_angle_gamma 120.00
loop_
_atom_site_label
_atom_site_type_symbol
_atom_site_fract_x
_atom_site_fract_y
_atom_site_fract_z
_atom_site_occupancy
Co1 Co 0.0000 0.5000 0.5000 1
Co2 Co 0.5000 0.0000 0.5000 1
Mn1 Mn 0.3333 0.6667 0.0000 1
Th1 Th 0.0000 0.0000 0.0000 1
Mn2 Mn 0.6667 0.3333 0.0000 1
Co3 Co 0.5000 0.5000 0.5000 1

***

# 3
# Sm2MnAl PBE optimized geometry
# E above lowest polymorph   17 meV per atom
# ΔE_f   -0.10 eV per formula unit
# Space-group type   No. 225
data_Sm2MnAl
_chemical_formula_sum 'Sm2 Mn1 Al1'
_symmetry_space_group_name_H-M 'P 1'
_symmetry_Int_Tables_number 1
_symmetry_space_group_name_Hall 'P 1'
_cell_length_a 5.1884
_cell_length_b 5.1884
_cell_length_c 5.1884
_cell_angle_alpha 60.00
_cell_angle_beta 60.00
_cell_angle_gamma 60.00
loop_
_atom_site_label
_atom_site_type_symbol
_atom_site_fract_x
_atom_site_fract_y
_atom_site_fract_z
_atom_site_occupancy
Sm1 Sm 0.7500 0.7500 0.7500 1
Al1 Al 0.0000 0.0000 0.0000 1
Sm2 Sm 0.2500 0.2500 0.2500 1
Mn1 Mn 0.5000 0.5000 0.5000 1

***

# 4
# RbBaFe2I8 PBE optimized geometry
# Formation energy (no corrections)   -0.76 eV/atom
# Space-group type   No. 147
data_RbBaFe2I8
_chemical_formula_sum 'Rb1 Ba1 Fe2 I8'
_symmetry_space_group_name_H-M 'P 1'
_symmetry_Int_Tables_number 1
_symmetry_space_group_name_Hall 'P 1'
_cell_length_a 7.6068
_cell_length_b 7.6068
_cell_length_c 11.5483
_cell_angle_alpha 90.00
_cell_angle_beta 90.00
_cell_angle_gamma 120.00
loop_
_atom_site_label
_atom_site_type_symbol
_atom_site_fract_x
_atom_site_fract_y
_atom_site_fract_z
_atom_site_occupancy
I1 I 0.0016 0.3474 0.6970 1
I2 I 0.3459 0.9984 0.6970 1
I3 I 0.6526 0.6541 0.6970 1
I4 I 0.9984 0.6526 0.3030 1
Ba1 Ba 0.0000 0.0000 0.5000 1
Fe1 Fe 0.3333 0.6667 0.7670 1
I5 I 0.6667 0.3333 0.0124 1
Rb1 Rb 0.0000 0.0000 0.0000 1
I6 I 0.3333 0.6667 0.9876 1
I7 I 0.3474 0.3459 0.3030 1
I8 I 0.6541 0.0016 0.3030 1
Fe2 Fe 0.6667 0.3333 0.2330 1

***

# 5
# Tb8TlIn2 PBE optimized geometry
# E above lowest polymorph   60 meV per atom
# ΔE_f   -1.99 eV per formula unit
# Space-group type   No. 71
data_Tb8TlIn2
_chemical_formula_sum 'Tb8 Tl1 In2'
_symmetry_space_group_name_H-M 'P 1'
_symmetry_Int_Tables_number 1
_symmetry_space_group_name_Hall 'P 1'
_cell_length_a 5.1195
_cell_length_b 8.5699
_cell_length_c 8.9453
_cell_angle_alpha 118.62
_cell_angle_beta 106.63
_cell_angle_gamma 90.00
loop_
_atom_site_label
_atom_site_type_symbol
_atom_site_fract_x
_atom_site_fract_y
_atom_site_fract_z
_atom_site_occupancy
In1 In 0.1948 0.6948 0.3897 1
Tb1 Tb 0.0000 0.3083 0.0000 1
Tb2 Tb 0.8577 0.8577 0.7153 1
Tb3 Tb 0.3412 0.1234 0.6825 1
In2 In 0.8052 0.3052 0.6103 1
Tb4 Tb 0.1423 0.1423 0.2847 1
Tl1 Tl 0.5000 0.0000 0.0000 1
Tb5 Tb 0.6587 0.4409 0.3175 1
Tb6 Tb 0.0000 0.6917 0.0000 1
Tb7 Tb 0.3413 0.5591 0.6825 1
Tb8 Tb 0.6588 0.8766 0.3175 1

***

# 6
# SrCu3Pt2 PBE optimized geometry
# ΔE_f   -0.06 eV per formula unit
# Space-group type   No. 166
data_SrCu3Pt2
_chemical_formula_sum 'Sr2 Cu6 Pt4'
_symmetry_space_group_name_H-M 'P 1'
_symmetry_Int_Tables_number 1
_symmetry_space_group_name_Hall 'P 1'
_cell_length_a 5.9872
_cell_length_b 5.9872
_cell_length_c 7.4243
_cell_angle_alpha 66.22
_cell_angle_beta 66.22
_cell_angle_gamma 60.00
loop_
_atom_site_label
_atom_site_type_symbol
_atom_site_fract_x
_atom_site_fract_y
_atom_site_fract_z
_atom_site_occupancy
Cu1 Cu 0.7147 0.3012 0.6830 1
Pt1 Pt 0.0000 0.0000 0.0000 1
Cu2 Cu 0.2853 0.6988 0.3170 1
Pt2 Pt 0.0000 0.5000 0.0000 1
Cu3 Cu 0.6988 0.6988 0.3170 1
Cu4 Cu 0.3012 0.7147 0.6830 1
Cu5 Cu 0.6988 0.2853 0.3170 1
Sr1 Sr 0.2137 0.2137 0.3590 1
Cu6 Cu 0.3012 0.3012 0.6830 1
Pt3 Pt 0.5000 0.0000 0.0000 1
Pt4 Pt 0.5000 0.5000 0.0000 1
Sr2 Sr 0.7863 0.7863 0.6410 1

***

# 7
# Li5Eu3F12 PBE optimized geometry
# Formation energy (no corrections)   -3.40 eV/atom
# Space-group type   No. 230
data_Li5Eu3F12
_chemical_formula_sum 'Li20 Eu12 F48'
_symmetry_space_group_name_H-M 'P 1'
_symmetry_Int_Tables_number 1
_symmetry_space_group_name_Hall 'P 1'
_cell_length_a 11.0346
_cell_length_b 11.0346
_cell_length_c 11.0346
_cell_angle_alpha 109.47
_cell_angle_beta 109.47
_cell_angle_gamma 109.47
loop_
_atom_site_label
_atom_site_type_symbol
_atom_site_fract_x
_atom_site_fract_y
_atom_site_fract_z
_atom_site_occupancy
F1 F 0.3758 0.4058 0.0865 1
Li1 Li 0.0000 0.5000 0.0000 1
F2 F 0.9700 0.5942 0.1807 1
F3 F 0.2894 0.4135 0.8193 1
Li2 Li 0.1250 0.7500 0.3750 1
Eu1 Eu 0.3750 0.6250 0.2500 1
Li3 Li 0.5000 0.5000 0.5000 1
Li4 Li 0.7500 0.1250 0.8750 1
F4 F 0.9135 0.0942 0.6242 1
F5 F 0.4058 0.3758 0.5865 1
Eu2 Eu 0.6250 0.3750 0.7500 1
Li5 Li 0.0000 0.0000 0.5000 1
Li6 Li 0.8750 0.2500 0.6250 1
Eu3 Eu 0.3750 0.7500 0.6250 1
F6 F 0.8758 0.2894 0.4700 1
Li7 Li 0.0000 0.5000 0.5000 1
F7 F 0.9135 0.8193 0.7894 1
F8 F 0.0865 0.1807 0.2106 1
F9 F 0.4700 0.6807 0.0942 1
F10 F 0.6242 0.0300 0.2106 1
Li8 Li 0.6250 0.7500 0.8750 1
Li9 Li 0.1250 0.3750 0.2500 1
F11 F 0.8193 0.9135 0.2894 1
F12 F 0.5300 0.3193 0.9058 1
F13 F 0.3193 0.5300 0.4058 1
F14 F 0.4700 0.7894 0.8758 1
F15 F 0.4135 0.2894 0.3193 1
Li10 Li 0.2500 0.8750 0.1250 1
F16 F 0.0942 0.9135 0.1242 1
F17 F 0.3193 0.7894 0.4135 1
F18 F 0.0942 0.1807 0.4700 1
F19 F 0.1242 0.4135 0.0942 1
Li11 Li 0.6250 0.8750 0.2500 1
F20 F 0.7894 0.4700 0.3758 1
Li12 Li 0.5000 0.5000 0.0000 1
F21 F 0.3758 0.9700 0.7894 1
F22 F 0.4135 0.1242 0.5942 1
F23 F 0.9058 0.0865 0.8758 1
F24 F 0.9058 0.8193 0.5300 1
F25 F 0.2106 0.6807 0.0865 1
Li13 Li 0.3750 0.2500 0.1250 1
Li14 Li 0.5000 0.0000 0.5000 1
Li15 Li 0.8750 0.6250 0.7500 1
Eu4 Eu 0.2500 0.6250 0.8750 1
F26 F 0.6807 0.4700 0.5942 1
F27 F 0.6807 0.2106 0.5865 1
F28 F 0.2894 0.8758 0.9700 1
F29 F 0.5865 0.8758 0.4058 1
F30 F 0.4058 0.0300 0.3193 1
Eu5 Eu 0.2500 0.1250 0.3750 1
F31 F 0.5300 0.2106 0.1242 1
F32 F 0.0865 0.9058 0.3758 1
Eu6 Eu 0.1250 0.8750 0.7500 1
F33 F 0.1807 0.0942 0.9700 1
Li16 Li 0.2500 0.3750 0.6250 1
F34 F 0.0300 0.6242 0.7106 1
F35 F 0.5942 0.6242 0.4135 1
Li17 Li 0.0000 0.0000 0.0000 1
Eu7 Eu 0.6250 0.2500 0.3750 1
F36 F 0.6242 0.5942 0.9135 1
Eu8 Eu 0.1250 0.2500 0.8750 1
F37 F 0.1242 0.7106 0.5300 1
Eu9 Eu 0.8750 0.7500 0.1250 1
Eu10 Eu 0.7500 0.3750 0.1250 1
F38 F 0.8193 0.9058 0.0300 1
F39 F 0.7106 0.5865 0.1807 1
F40 F 0.7894 0.3193 0.9135 1
F41 F 0.7106 0.1242 0.0300 1
F42 F 0.8758 0.5865 0.9058 1
F43 F 0.5865 0.7106 0.6807 1
F44 F 0.2106 0.5300 0.6242 1
Li18 Li 0.5000 0.0000 0.0000 1
Li19 Li 0.7500 0.6250 0.3750 1
Eu11 Eu 0.8750 0.1250 0.2500 1
Eu12 Eu 0.7500 0.8750 0.6250 1
F45 F 0.0300 0.4058 0.8193 1
F46 F 0.5942 0.9700 0.6807 1
Li20 Li 0.3750 0.1250 0.7500 1
F47 F 0.1807 0.0865 0.7106 1
F48 F 0.9700 0.3758 0.2894 1

***

# 8
# AlNiAu PBE optimized geometry
# ΔE_f   -0.82 eV per formula unit
# Space-group type   No. 12
data_AlNiAu
_chemical_formula_sum 'Al2 Ni2 Au2'
_symmetry_space_group_name_H-M 'P 1'
_symmetry_Int_Tables_number 1
_symmetry_space_group_name_Hall 'P 1'
_cell_length_a 4.0767
_cell_length_b 4.0767
_cell_length_c 6.7724
_cell_angle_alpha 72.24
_cell_angle_beta 72.24
_cell_angle_gamma 60.15
loop_
_atom_site_label
_atom_site_type_symbol
_atom_site_fract_x
_atom_site_fract_y
_atom_site_fract_z
_atom_site_occupancy
Ni1 Ni 0.8550 0.8550 0.9343 1
Ni2 Ni 0.1450 0.1450 0.0657 1
Al1 Al 0.5674 0.5674 0.7958 1
Al2 Al 0.4326 0.4326 0.2042 1
Au1 Au 0.7125 0.7125 0.3651 1
Au2 Au 0.2875 0.2875 0.6349 1

***

# 9
# TiSe2 PBE optimized geometry
# Formation energy (no corrections)   -1.12 eV/atom
# Space-group type   No. 164
data_TiSe2
_chemical_formula_sum 'Ti1 Se2'
_symmetry_space_group_name_H-M 'P 1'
_symmetry_Int_Tables_number 1
_symmetry_space_group_name_Hall 'P 1'
_cell_length_a 3.5411
_cell_length_b 3.5412
_cell_length_c 6.5873
_cell_angle_alpha 89.95
_cell_angle_beta 90.00
_cell_angle_gamma 120.00
loop_
_atom_site_label
_atom_site_type_symbol
_atom_site_fract_x
_atom_site_fract_y
_atom_site_fract_z
_atom_site_occupancy
Se1 Se 0.9134 0.8268 0.7357 1
Ti1 Ti 0.2469 0.4939 0.5005 1
Se2 Se 0.5805 0.1610 0.2653 1

***

# 10
# AgBi3Cl PBE optimized geometry
# Formation energy (no corrections)   0.45 eV/atom
# E above lowest polymorph   0 meV per atom
# Space-group type   No. 221
data_AgBi3Cl
_chemical_formula_sum 'Ag1 Bi3 Cl1'
_symmetry_space_group_name_H-M 'P 1'
_symmetry_Int_Tables_number 1
_symmetry_space_group_name_Hall 'P 1'
_cell_length_a 5.5576
_cell_length_b 5.5576
_cell_length_c 5.5576
_cell_angle_alpha 90.00
_cell_angle_beta 90.00
_cell_angle_gamma 90.00
loop_
_atom_site_label
_atom_site_type_symbol
_atom_site_fract_x
_atom_site_fract_y
_atom_site_fract_z
_atom_site_occupancy
Bi1 Bi 0.0000 0.5000 0.0000 1
Ag1 Ag 0.0000 0.0000 0.0000 1
Bi2 Bi 0.5000 0.0000 0.0000 1
Cl1 Cl 0.5000 0.5000 0.5000 1
Bi3 Bi 0.0000 0.0000 0.5000 1